(1)
First-principles (PBE) data for a relaxed Fe2Cu2I7 crystal, as listed in the Alexandria database.

The calculation puts the magnetization at 9.0 μB/f.u. As for the uncorrected formation energy: -0.14 eV/atom. As for the calculated total energy: -3.4076 eV per atom. The density is 3411 kg/m³.

a = 7.510 Å, b = 14.276 Å, c = 10.243 Å
α = 90.00°, β = 92.06°, γ = 90.00°
Space group C2/m (No. 12)
Asymmetric unit:
Fe (0.039, 0.000, 0.256) [4 per cell]
Cu (0.000, 0.089, 0.500) [4 per cell]
I (0.000, 0.000, 0.000) [2 per cell]
I (0.180, 0.162, 0.314) [8 per cell]
I (0.228, 0.500, 0.357) [4 per cell]

---

(2)
First-principles (PBE) data for a relaxed FeCuI2 crystal, as listed in the Alexandria database.

The calculation puts the magnetization at 3.0 μB/f.u. As for the uncorrected formation energy: 0.35 eV/atom. As for the calculated total energy: -3.5612 eV per atom. The density is 5370 kg/m³.

a = 4.0875 Å, b = 4.0875 Å, c = 23.9278 Å
α = 90.00°, β = 90.00°, γ = 120.00°
Space group R-3m (No. 166, hexagonal axes)
Asymmetric unit:
Fe (0.0000, 0.0000, 0.0000) [3 per cell]
Cu (0.0000, 0.0000, 0.5000) [3 per cell]
I (0.0000, 0.0000, 0.3971) [6 per cell]

---

(3)
First-principles (PBE) data for a relaxed FeCu5I12 crystal, as listed in the Alexandria database.

The calculation puts the magnetization at 4.5 μB/f.u. As for the uncorrected formation energy: -0.04 eV/atom. As for the calculated total energy: -2.6862 eV per atom. The density is 5280 kg/m³.

a = 6.697 Å, b = 12.421 Å, c = 14.410 Å
α = 90.00°, β = 95.66°, γ = 90.00°
Space group C2/m (No. 12)
Asymmetric unit:
Fe (0.000, 0.000, 0.000) [2 per cell]
Cu (0.000, 0.167, 0.500) [4 per cell]
Cu (0.000, 0.338, 0.000) [4 per cell]
Cu (0.000, 0.500, 0.500) [2 per cell]
I (0.161, 0.162, 0.892) [8 per cell]
I (0.162, 0.500, 0.883) [4 per cell]
I (0.211, 0.000, 0.611) [4 per cell]
I (0.211, 0.333, 0.611) [8 per cell]

---

(4)
First-principles (PBE) data for a relaxed FeCuI6 crystal, as listed in the Alexandria database.

The calculation puts the magnetization at 3.2 μB/f.u. As for the uncorrected formation energy: 0.02 eV/atom. As for the calculated total energy: -2.7081 eV per atom. The density is 5575 kg/m³.

a = 7.061 Å, b = 7.068 Å, c = 7.299 Å
α = 61.18°, β = 61.27°, γ = 60.06°
Space group P-1 (No. 2)
Asymmetric unit:
Fe (0.000, 0.000, 0.000) [1 per cell]
Cu (0.500, 0.500, 0.500) [1 per cell]
I (0.101, 0.756, 0.751) [2 per cell]
I (0.245, 0.607, 0.250) [2 per cell]
I (0.391, 0.101, 0.751) [2 per cell]

---

(5)
First-principles (PBE) data for a relaxed Fe2CuI6 crystal, as listed in the Alexandria database.

The calculation puts the magnetization at 9.0 μB/f.u. As for the uncorrected formation energy: -0.15 eV/atom. As for the calculated total energy: -3.5142 eV per atom. The density is 4160 kg/m³.

a = 14.783 Å, b = 15.292 Å, c = 7.206 Å
α = 90.00°, β = 113.34°, γ = 90.00°
Space group C2/c (No. 15)
Asymmetric unit:
Fe (0.217, 0.082, 0.348) [8 per cell]
Cu (0.000, 0.293, 0.250) [4 per cell]
I (0.098, 0.396, 0.558) [8 per cell]
I (0.117, 0.208, 0.122) [8 per cell]
I (0.165, 0.069, 0.657) [8 per cell]

---

(6)
First-principles (PBE) data for a relaxed FeCuI4 crystal, as listed in the Alexandria database.

The calculation puts the magnetization at 5.0 μB/f.u. As for the uncorrected formation energy: -0.18 eV/atom. As for the calculated total energy: -3.3104 eV per atom. The density is 4527 kg/m³.

a = 6.327 Å, b = 6.327 Å, c = 11.491 Å
α = 90.00°, β = 90.00°, γ = 90.00°
Space group P-42c (No. 112)
Asymmetric unit:
Fe (0.000, 0.500, 0.250) [2 per cell]
Cu (0.000, 0.000, 0.000) [2 per cell]
I (0.234, 0.260, 0.377) [8 per cell]